Entry 1:
22
Lattice="5.607 3.237 4.734 -5.607 3.237 4.734 0.000 -6.474 4.734" Properties=species:S:1:pos:R:3 comment="PBE-GGA Ce4NdP6, relaxed" vol_a3_per_cell=515.6 formation_enthalpy_0k_ev_per_atom=-1.17 total_energy_ev_per_atom=-6.7078 pbc="T T T"
Ce -3.466 0.472 5.918
Ce 0.000 0.000 3.551
Ce -2.141 -2.765 8.285
Ce 1.324 -3.237 5.918
Ce -1.324 3.237 8.285
Ce 2.141 2.765 5.918
Ce 0.000 0.000 10.652
Ce 3.466 -0.472 8.285
Nd 0.000 0.000 0.000
Nd 0.000 0.000 7.101
P -4.732 -1.173 7.825
P -1.351 -4.685 6.377
P -1.351 -1.790 5.458
P -3.382 3.512 6.377
P -0.875 2.065 5.458
P -2.225 0.275 8.744
P 2.225 -0.275 5.458
P 0.875 -2.065 8.744
P 3.382 -3.512 7.825
P 1.351 1.790 8.744
P 1.351 4.685 7.825
P 4.732 1.173 6.377

---

Entry 2:
8
Lattice="5.873 0.000 0.000 0.000 5.873 0.000 0.000 0.000 5.873" Properties=species:S:1:pos:R:3 comment="PBE-GGA CeNd3P4, relaxed" vol_a3_per_cell=202.5 formation_enthalpy_0k_ev_per_atom=-1.53 de_polymorph_ev_per_atom=0.009 total_energy_ev_per_atom=-6.7620 pbc="T T T"
Ce 0.000 0.000 0.000
Nd 0.000 2.936 2.936
Nd 2.936 0.000 2.936
Nd 2.936 2.936 0.000
P 0.000 0.000 2.936
P 0.000 2.936 0.000
P 2.936 0.000 0.000
P 2.936 2.936 2.936

---

Entry 3:
12
Lattice="3.594 -6.225 0.000 3.594 6.225 0.000 -2.396 0.000 6.780" Properties=species:S:1:pos:R:3 comment="PBE-GGA CeNd5P6, relaxed" vol_a3_per_cell=303.4 formation_enthalpy_0k_ev_per_atom=-1.54 total_energy_ev_per_atom=-6.7287 pbc="T T T"
Ce 0.000 0.000 0.000
Nd 2.396 4.139 3.390
Nd 3.594 2.071 0.000
Nd 2.396 0.000 3.390
Nd 3.594 -2.071 0.000
Nd 2.396 -4.139 3.390
P 1.175 2.037 1.672
P -0.046 0.000 5.111
P 1.175 -2.037 1.672
P 3.617 2.037 5.108
P 4.839 0.000 1.669
P 3.617 -2.037 5.108

---

Entry 4:
18
Lattice="7.036 -3.844 0.000 7.036 3.844 0.000 0.000 0.000 7.730" Properties=species:S:1:pos:R:3 comment="PBE-GGA Ce2Nd2P5, relaxed" vol_a3_per_cell=418.1 formation_enthalpy_0k_ev_per_atom=-1.21 total_energy_ev_per_atom=-6.5948 pbc="T T T"
Ce 2.758 0.000 0.000
Ce 4.278 0.000 3.865
Ce 9.794 0.000 3.865
Ce 11.314 0.000 0.000
Nd 7.036 2.644 5.094
Nd 7.036 1.200 1.229
Nd 7.036 -1.200 6.501
Nd 7.036 -2.644 2.636
P 0.000 0.000 0.000
P 5.018 2.637 2.677
P 5.018 1.207 6.542
P 9.055 2.637 2.677
P 9.055 1.207 6.542
P 7.036 0.000 3.865
P 5.018 -1.207 1.188
P 5.018 -2.637 5.053
P 9.055 -1.207 1.188
P 9.055 -2.637 5.053